# 1
A plane-wave DFT calculation with GGA-PBE was carried out for a geometry-optimized Tb2YNi structure.

Unit cell a=3.6719 b=3.6719 c=28.3564 alpha=90.00 beta=90.00 gamma=120.00
Sites, in units of the cell vectors:
Tb 0.0000 0.0000 0.2276
Tb 0.0000 0.0000 0.7724
Tb 0.3333 0.6667 0.4391
Tb 0.3333 0.6667 0.8943
Tb 0.6667 0.3333 0.1057
Tb 0.6667 0.3333 0.5609
Y 0.0000 0.0000 0.0000
Y 0.3333 0.6667 0.6667
Y 0.6667 0.3333 0.3333
Ni 0.0000 0.0000 0.5000
Ni 0.3333 0.6667 0.1667
Ni 0.6667 0.3333 0.8333

Properties
Its crystal system is trigonal. For the distance to the lowest polymorph of the same formula, the calculation gives 0.161 eV/atom. The formation energy is -0.079 eV per atom. As for the symmetry: R-3m, No. 166.



# 2
A plane-wave DFT calculation with GGA-PBE was carried out for a geometry-optimized Er2Zn15Au2 structure.

Unit cell a=6.8195 b=6.8195 c=6.8195 alpha=82.90 beta=82.90 gamma=82.90
Sites, in units of the cell vectors:
Er 0.1601 0.1601 0.1601
Er 0.8399 0.8399 0.8399
Zn 0.0000 0.5000 0.5000
Zn 0.1456 0.1456 0.6644
Zn 0.1456 0.6644 0.1456
Zn 0.2021 0.5000 0.7979
Zn 0.2021 0.7979 0.5000
Zn 0.3356 0.8544 0.8544
Zn 0.5000 0.0000 0.5000
Zn 0.5000 0.2021 0.7979
Zn 0.5000 0.5000 0.0000
Zn 0.5000 0.7979 0.2021
Zn 0.6644 0.1456 0.1456
Zn 0.7979 0.2021 0.5000
Zn 0.7979 0.5000 0.2021
Zn 0.8544 0.3356 0.8544
Zn 0.8544 0.8544 0.3356
Au 0.3883 0.3883 0.3883
Au 0.6117 0.6117 0.6117

Properties
Its crystal system is trigonal. The formation energy is -0.267 eV per atom. As for the symmetry: R-3m, No. 166.



# 3
A plane-wave DFT calculation with GGA-PBE was carried out for a geometry-optimized MgNbS2Cl structure.

Unit cell a=4.8021 b=4.8021 c=4.5076 alpha=90.00 beta=90.00 gamma=90.00
Sites, in units of the cell vectors:
Mg 0.0000 0.0000 0.0000
Nb 0.5000 0.5000 0.5000
S 0.0000 0.5000 0.0000
S 0.5000 0.0000 0.0000
Cl 0.0000 0.0000 0.5000

Properties
Its crystal system is tetragonal. For the distance to the lowest polymorph of the same formula, the calculation gives 0.531 eV/atom. As for the symmetry: P4/mmm, No. 123.



# 4
A plane-wave DFT calculation with GGA-PBE was carried out for a geometry-optimized FePb structure.

Unit cell a=6.1389 b=6.1389 c=6.1389 alpha=90.00 beta=90.00 gamma=90.00
Sites, in units of the cell vectors:
Fe 0.0000 0.0000 0.0000
Fe 0.0000 0.5000 0.5000
Fe 0.5000 0.0000 0.5000
Fe 0.5000 0.5000 0.0000
Pb 0.2500 0.2500 0.7500
Pb 0.2500 0.7500 0.2500
Pb 0.7500 0.2500 0.2500
Pb 0.7500 0.7500 0.7500

Properties
Its crystal system is cubic. The formation energy is 1.189 eV per atom. As for the symmetry: F-43m, No. 216.



Number 1: D(E_F) 1.086 states/eV per atom. Number 2: D(E_F) 0.292 states/eV per atom. Number 3: D(E_F) 0.697 states/eV per atom. Number 4: D(E_F) 1.700 states/eV per atom.